A plane-wave DFT calculation with PBE was carried out for a geometry-optimized La2AgHOs structure.

a = 5.2151 Å, b = 5.2151 Å, c = 3.7799 Å
α = 90.00°, β = 90.00°, γ = 90.00°
Last column: nearest neighbours and their distance in Å.
Positions (direct):
La (0.0000, 0.5000, 0.0000)  2 H 2.61
La (0.5000, 0.0000, 0.0000)  2 H 2.61
Ag (0.0000, 0.0000, 0.5000)  8 La 3.22
H (0.5000, 0.5000, 0.0000)  2 Os 1.89
Os (0.5000, 0.5000, 0.5000)  2 H 1.89

Output
Total magnetization, μB per formula unit: 0.00
Crystal system: tetragonal
Raw total energy, eV per atom: -5.638
Space-group type: P4/mmm
Calculated density, kg/m³: 9319